# RbNa2CrH6 | the Alexandria database | GGA-PBE | optimized geometry
# total DFT energy (no corrections)	-3.470	eV/atom
data_RbNa2CrH6
_chemical_formula_sum 'Rb2 Na4 Cr2 H12'
_cell_length_a 5.525
_cell_length_b 6.023
_cell_length_c 9.759
_cell_angle_alpha 90.00
_cell_angle_beta 124.45
_cell_angle_gamma 90.00
_symmetry_space_group_name_H-M 'P 1 21/c 1'
_symmetry_Int_Tables_number 14
_symmetry_space_group_name_Hall '-P 2ybc'
loop_
_atom_site_label
_atom_site_fract_x
_atom_site_fract_y
_atom_site_fract_z
Rb1 0.000 0.000 0.000
Na1 0.219 0.001 0.719
Cr1 0.500 0.000 0.500
H1 0.223 0.126 0.499
H2 0.234 0.679 0.848
H3 0.461 0.177 0.347


# Cs2UAlS4 | the Alexandria database | GGA-PBE | optimized geometry
# E_form (uncorrected)	-1.1484	eV/atom
data_Cs2UAlS4
_chemical_formula_sum 'Cs16 U8 Al8 S32'
_cell_length_a 6.375
_cell_length_b 14.633
_cell_length_c 26.184
_cell_angle_alpha 90.00
_cell_angle_beta 90.00
_cell_angle_gamma 90.00
_symmetry_space_group_name_H-M 'F d d d'
_symmetry_Int_Tables_number 70
loop_
_symmetry_equiv_pos_as_xyz
'x,y,z'
'-x,-y,-z'
'-x+1/4,-y+1/4,z'
'x+1/4,y+1/4,-z'
'x,-y+1/4,-z+1/4'
'-x,y+1/4,z+1/4'
'-x+1/4,y,-z+1/4'
'x+1/4,-y,z+1/4'
'x,y+1/2,z+1/2'
'-x,-y+1/2,-z+1/2'
'-x+1/4,-y+3/4,z+1/2'
'x+1/4,y+3/4,-z+1/2'
'x,-y+3/4,-z+3/4'
'-x,y+3/4,z+3/4'
'-x+1/4,y+1/2,-z+3/4'
'x+1/4,-y+1/2,z+3/4'
'x+1/2,y,z+1/2'
'-x+1/2,-y,-z+1/2'
'-x+3/4,-y+1/4,z+1/2'
'x+3/4,y+1/4,-z+1/2'
'x+1/2,-y+1/4,-z+3/4'
'-x+1/2,y+1/4,z+3/4'
'-x+3/4,y,-z+3/4'
'x+3/4,-y,z+3/4'
'x+1/2,y+1/2,z'
'-x+1/2,-y+1/2,-z'
'-x+3/4,-y+3/4,z'
'x+3/4,y+3/4,-z'
'x+1/2,-y+3/4,-z+1/4'
'-x+1/2,y+3/4,z+1/4'
'-x+3/4,y+1/2,-z+1/4'
'x+3/4,-y+1/2,z+1/4'
loop_
_atom_site_label
_atom_site_fract_x
_atom_site_fract_y
_atom_site_fract_z
Cs1 0.125 0.125 0.303
U1 0.125 0.125 0.125
Al1 0.125 0.125 0.625
S1 0.086 0.283 0.826


# ZrSc2Mo | the Alexandria database | GGA-PBE | optimized geometry
# ΔH_f (0 K)	0.12	eV/atom
data_ZrSc2Mo
_chemical_formula_sum 'Zr1 Sc2 Mo1'
_cell_length_a 3.046
_cell_length_b 4.754
_cell_length_c 5.895
_cell_angle_alpha 90.00
_cell_angle_beta 104.87
_cell_angle_gamma 90.00
_symmetry_space_group_name_H-M 'P 1 2/m 1'
_symmetry_Int_Tables_number 10
_symmetry_space_group_name_Hall '-P 2y'
loop_
_atom_site_label
_atom_site_fract_x
_atom_site_fract_y
_atom_site_fract_z
Zr1 0.000 0.000 0.000
Sc1 0.392 0.500 0.732
Mo1 0.000 0.000 0.500


# CrCdAu2 | the Alexandria database | GGA-PBE | optimized geometry
# ΔH_f (0 K)	0.13	eV/atom
data_CrCdAu2
_chemical_formula_sum 'Cr3 Cd3 Au6'
_cell_length_a 3.0711
_cell_length_b 3.0711
_cell_length_c 27.1048
_cell_angle_alpha 90.00
_cell_angle_beta 90.00
_cell_angle_gamma 120.00
_symmetry_space_group_name_H-M 'R -3 m'
_symmetry_Int_Tables_number 166
_symmetry_space_group_name_Hall '-R 3 2"'
loop_
_atom_site_label
_atom_site_fract_x
_atom_site_fract_y
_atom_site_fract_z
Cr1 0.0000 0.0000 0.0000
Cd1 0.0000 0.0000 0.5000
Au1 0.0000 0.0000 0.2560


# Er4Al12Fe | the Alexandria database | GGA-PBE | optimized geometry
# ΔH_f (0 K)	-0.43	eV/atom
data_Er4Al12Fe
_chemical_formula_sum 'Er8 Al24 Fe2'
_cell_length_a 8.560
_cell_length_b 8.560
_cell_length_c 8.560
_cell_angle_alpha 90.00
_cell_angle_beta 90.00
_cell_angle_gamma 90.00
_symmetry_space_group_name_H-M 'I m -3 m'
_symmetry_Int_Tables_number 229
_symmetry_space_group_name_Hall '-I 4 2 3'
loop_
_atom_site_label
_atom_site_fract_x
_atom_site_fract_y
_atom_site_fract_z
Er1 0.250 0.250 0.250
Al1 0.000 0.000 0.279
Al2 0.000 0.250 0.500
Fe1 0.000 0.000 0.000


# Ca3In9Au2 | the Alexandria database | GGA-PBE | optimized geometry
# ΔH_f (0 K)	-0.34	eV/atom
data_Ca3In9Au2
_chemical_formula_sum 'Ca6 In18 Au4'
_cell_length_a 4.801
_cell_length_b 11.145
_cell_length_c 13.329
_cell_angle_alpha 90.00
_cell_angle_beta 90.00
_cell_angle_gamma 90.00
_symmetry_space_group_name_H-M 'I m m m'
_symmetry_Int_Tables_number 71
_symmetry_space_group_name_Hall '-I 2 2'
loop_
_atom_site_label
_atom_site_fract_x
_atom_site_fract_y
_atom_site_fract_z
Ca1 0.000 0.000 0.000
Ca2 0.000 0.000 0.303
In1 0.000 0.284 0.141
In2 0.000 0.369 0.356
In3 0.000 0.500 0.000
Au1 0.000 0.169 0.500


# Ce2ZnIn | the Alexandria database | GGA-PBE | optimized geometry
# ΔH_f (0 K)	-0.11	eV/atom
data_Ce2ZnIn
_chemical_formula_sum 'Ce6 Zn3 In3'
_cell_length_a 3.1998
_cell_length_b 3.1998
_cell_length_c 32.6313
_cell_angle_alpha 90.00
_cell_angle_beta 90.00
_cell_angle_gamma 120.00
_symmetry_space_group_name_H-M 'R -3 m'
_symmetry_Int_Tables_number 166
_symmetry_space_group_name_Hall '-R 3 2"'
loop_
_atom_site_label
_atom_site_fract_x
_atom_site_fract_y
_atom_site_fract_z
Ce1 0.0000 0.0000 0.2448
Zn1 0.0000 0.0000 0.5000
In1 0.0000 0.0000 0.0000


# KTaAs2Se | the Alexandria database | GGA-PBE | optimized geometry
# E_form (uncorrected)	-0.3073	eV/atom
data_KTaAs2Se
_chemical_formula_sum 'K1 Ta1 As2 Se1'
_cell_length_a 5.085
_cell_length_b 5.085
_cell_length_c 5.125
_cell_angle_alpha 90.00
_cell_angle_beta 90.00
_cell_angle_gamma 90.00
_symmetry_space_group_name_H-M 'P 4/m m m'
_symmetry_Int_Tables_number 123
_symmetry_space_group_name_Hall '-P 4 2'
loop_
_atom_site_label
_atom_site_fract_x
_atom_site_fract_y
_atom_site_fract_z
K1 0.000 0.000 0.000
Ta1 0.500 0.500 0.500
As1 0.000 0.500 0.500
Se1 0.500 0.500 0.000


# KSn12Pt4 | the Alexandria database | GGA-PBE | optimized geometry
# ΔH_f (0 K)	-0.35	eV/atom
data_KSn12Pt4
_chemical_formula_sum 'K2 Sn24 Pt8'
_cell_length_a 9.570
_cell_length_b 9.570
_cell_length_c 9.570
_cell_angle_alpha 90.00
_cell_angle_beta 90.00
_cell_angle_gamma 90.00
_symmetry_space_group_name_H-M 'I m -3'
_symmetry_Int_Tables_number 204
_symmetry_space_group_name_Hall '-I 2 2 3'
loop_
_atom_site_label
_atom_site_fract_x
_atom_site_fract_y
_atom_site_fract_z
K1 0.000 0.000 0.000
Sn1 0.000 0.345 0.159
Pt1 0.250 0.250 0.250


# NbCuSi2Br | the Alexandria database | GGA-PBE | optimized geometry
# E_form (uncorrected)	1.6756	eV/atom
data_NbCuSi2Br
_chemical_formula_sum 'Nb1 Cu1 Si2 Br1'
_cell_length_a 4.953
_cell_length_b 4.953
_cell_length_c 4.770
_cell_angle_alpha 90.00
_cell_angle_beta 90.00
_cell_angle_gamma 90.00
_symmetry_space_group_name_H-M 'P 4/m m m'
_symmetry_Int_Tables_number 123
_symmetry_space_group_name_Hall '-P 4 2'
loop_
_atom_site_label
_atom_site_fract_x
_atom_site_fract_y
_atom_site_fract_z
Nb1 0.000 0.000 0.000
Cu1 0.500 0.500 0.000
Si1 0.000 0.500 0.500
Br1 0.000 0.000 0.500


# InAgSn | the Alexandria database | GGA-PBE | optimized geometry
# ΔH_f (0 K)	0.03	eV/atom
data_InAgSn
_chemical_formula_sum 'In2 Ag2 Sn2'
_cell_length_a 3.288
_cell_length_b 5.925
_cell_length_c 7.686
_cell_angle_alpha 100.50
_cell_angle_beta 101.99
_cell_angle_gamma 90.12
_symmetry_space_group_name_H-M 'P 1'
_symmetry_Int_Tables_number 1
_symmetry_space_group_name_Hall 'P 1'
loop_
_atom_site_label
_atom_site_fract_x
_atom_site_fract_y
_atom_site_fract_z
In1 0.000 0.000 0.000
In2 0.372 0.447 0.744
Ag1 0.031 0.510 0.068
Ag2 0.645 0.858 0.293
Sn1 0.303 0.916 0.620
Sn2 0.672 0.366 0.360


# Rb2NiHg2H4 | the Alexandria database | GGA-PBE | optimized geometry
# total DFT energy (no corrections)	-2.532	eV/atom
data_Rb2NiHg2H4
_chemical_formula_sum 'Rb4 Ni2 Hg4 H8'
_cell_length_a 6.911
_cell_length_b 6.911
_cell_length_c 8.296
_cell_angle_alpha 90.00
_cell_angle_beta 90.00
_cell_angle_gamma 90.00
_symmetry_space_group_name_H-M 'I 4/m m m'
_symmetry_Int_Tables_number 139
_symmetry_space_group_name_Hall '-I 4 2'
loop_
_atom_site_label
_atom_site_fract_x
_atom_site_fract_y
_atom_site_fract_z
Rb1 0.000 0.500 0.250
Ni1 0.000 0.000 0.000
Hg1 0.000 0.000 0.317
H1 0.158 0.158 0.000


# CsSc2Te2S | the Alexandria database | GGA-PBE | optimized geometry
# E_form (uncorrected)	-1.4162	eV/atom
data_CsSc2Te2S
_chemical_formula_sum 'Cs1 Sc2 Te2 S1'
_cell_length_a 4.888
_cell_length_b 4.888
_cell_length_c 8.311
_cell_angle_alpha 90.00
_cell_angle_beta 90.00
_cell_angle_gamma 90.00
_symmetry_space_group_name_H-M 'P 4/m m m'
_symmetry_Int_Tables_number 123
_symmetry_space_group_name_Hall '-P 4 2'
loop_
_atom_site_label
_atom_site_fract_x
_atom_site_fract_y
_atom_site_fract_z
Cs1 0.000 0.000 0.000
Sc1 0.000 0.500 0.500
Te1 0.500 0.500 0.269
S1 0.000 0.000 0.500


# NpBi2Pb | the Alexandria database | GGA-PBE | optimized geometry
# ΔH_f (0 K)	0.17	eV/atom
data_NpBi2Pb
_chemical_formula_sum 'Np3 Bi6 Pb3'
_cell_length_a 4.5502
_cell_length_b 4.5502
_cell_length_c 23.1994
_cell_angle_alpha 90.00
_cell_angle_beta 90.00
_cell_angle_gamma 120.00
_symmetry_space_group_name_H-M 'R -3 m'
_symmetry_Int_Tables_number 166
_symmetry_space_group_name_Hall '-R 3 2"'
loop_
_atom_site_label
_atom_site_fract_x
_atom_site_fract_y
_atom_site_fract_z
Np1 0.0000 0.0000 0.0000
Bi1 0.0000 0.0000 0.2560
Pb1 0.0000 0.0000 0.5000


# LiEuGe2 | the Alexandria database | GGA-PBE | optimized geometry
# ΔH_f (0 K)	-0.40	eV/atom
data_LiEuGe2
_chemical_formula_sum 'Li1 Eu1 Ge2'
_cell_length_a 4.357
_cell_length_b 4.357
_cell_length_c 4.337
_cell_angle_alpha 90.00
_cell_angle_beta 90.00
_cell_angle_gamma 90.00
_symmetry_space_group_name_H-M 'P 4/m m m'
_symmetry_Int_Tables_number 123
_symmetry_space_group_name_Hall '-P 4 2'
loop_
_atom_site_label
_atom_site_fract_x
_atom_site_fract_y
_atom_site_fract_z
Li1 0.000 0.000 0.000
Eu1 0.500 0.500 0.000
Ge1 0.000 0.500 0.500


# Hf8PtN2 | the Alexandria database | GGA-PBE | optimized geometry
# E_form (uncorrected)	-0.5078	eV/atom
data_Hf8PtN2
_chemical_formula_sum 'Hf16 Pt2 N4'
_cell_length_a 12.347
_cell_length_b 6.423
_cell_length_c 5.676
_cell_angle_alpha 90.00
_cell_angle_beta 99.10
_cell_angle_gamma 90.00
_symmetry_space_group_name_H-M 'C 1 2/m 1'
_symmetry_Int_Tables_number 12
_symmetry_space_group_name_Hall '-C 2y'
loop_
_atom_site_label
_atom_site_fract_x
_atom_site_fract_y
_atom_site_fract_z
Hf1 0.095 0.241 0.217
Hf2 0.144 0.000 0.720
Hf3 0.187 0.500 0.784
Pt1 0.000 0.500 0.500
N1 0.188 0.500 0.150


# ZnCd2Ni | the Alexandria database | GGA-PBE | optimized geometry
# ΔH_f (0 K)	-0.02	eV/atom
data_ZnCd2Ni
_chemical_formula_sum 'Zn1 Cd2 Ni1'
_cell_length_a 3.112
_cell_length_b 3.112
_cell_length_c 6.988
_cell_angle_alpha 90.00
_cell_angle_beta 90.00
_cell_angle_gamma 90.00
_symmetry_space_group_name_H-M 'P 4 m m'
_symmetry_Int_Tables_number 99
_symmetry_space_group_name_Hall 'P 4 -2'
loop_
_atom_site_label
_atom_site_fract_x
_atom_site_fract_y
_atom_site_fract_z
Zn1 0.000 0.000 0.000
Cd1 0.000 0.000 0.590
Cd2 0.500 0.500 0.272
Ni1 0.500 0.500 0.837


# NbCdTeO6 | the Alexandria database | GGA-PBE | optimized geometry
# E_form (uncorrected)	-1.5376	eV/atom
data_NbCdTeO6
_chemical_formula_sum 'Nb2 Cd2 Te2 O12'
_cell_length_a 5.4263
_cell_length_b 5.4263
_cell_length_c 9.7159
_cell_angle_alpha 90.00
_cell_angle_beta 90.00
_cell_angle_gamma 120.00
_symmetry_space_group_name_H-M 'P -3 1 c'
_symmetry_Int_Tables_number 163
_symmetry_space_group_name_Hall '-P 3 2c'
loop_
_atom_site_label
_atom_site_fract_x
_atom_site_fract_y
_atom_site_fract_z
Nb1 0.3333 0.6667 0.2500
Cd1 0.0000 0.0000 0.0000
Te1 0.3333 0.6667 0.7500
O1 0.0017 0.3687 0.1372


# NpTiIr | the Alexandria database | GGA-PBE | optimized geometry
# ΔH_f (0 K)	-0.21	eV/atom
data_NpTiIr
_chemical_formula_sum 'Np2 Ti2 Ir2'
_cell_length_a 3.626
_cell_length_b 3.626
_cell_length_c 8.082
_cell_angle_alpha 90.00
_cell_angle_beta 90.00
_cell_angle_gamma 90.00
_symmetry_space_group_name_H-M 'P 4/n m m'
_symmetry_Int_Tables_number 129
loop_
_symmetry_equiv_pos_as_xyz
'x,y,z'
'-x,-y,-z'
'-y+1/2,x,z'
'y+1/2,-x,-z'
'-x+1/2,-y+1/2,z'
'x+1/2,y+1/2,-z'
'y,-x+1/2,z'
'-y,x+1/2,-z'
'x+1/2,-y,-z'
'-x+1/2,y,z'
'-y,-x,-z'
'y,x,z'
'-x,y+1/2,-z'
'x,-y+1/2,z'
'y+1/2,x+1/2,-z'
'-y+1/2,-x+1/2,z'
loop_
_atom_site_label
_atom_site_fract_x
_atom_site_fract_y
_atom_site_fract_z
Np1 0.250 0.750 0.000
Ti1 0.250 0.250 0.379
Ir1 0.250 0.250 0.693


# TaTe6Rh | the Alexandria database | GGA-PBE | optimized geometry
# E_form (uncorrected)	-0.1490	eV/atom
data_TaTe6Rh
_chemical_formula_sum 'Ta1 Te6 Rh1'
_cell_length_a 6.556
_cell_length_b 6.744
_cell_length_c 6.789
_cell_angle_alpha 87.47
_cell_angle_beta 61.75
_cell_angle_gamma 61.72
_symmetry_space_group_name_H-M 'P -1'
_symmetry_Int_Tables_number 2
_symmetry_space_group_name_Hall '-P 1'
loop_
_atom_site_label
_atom_site_fract_x
_atom_site_fract_y
_atom_site_fract_z
Ta1 0.000 0.000 0.000
Te1 0.129 0.307 0.089
Te2 0.174 0.780 0.282
Te3 0.496 0.794 0.586
Rh1 0.000 0.500 0.500